# Tb4PI5

A geometry-optimized Tb4PI5 structure (GGA-PBE, OQMD).

Total DFT energy (no corrections)   -0.1655 Ha/atom

Lattice parameters (Å, degrees): 9.7486 9.7486 8.7580 102.38 102.38 24.49
Positions (direct):
Tb (0.0008, 0.0008, 0.2957)
Tb (0.3578, 0.3578, 0.4291)
Tb (0.6422, 0.6422, 0.5709)
Tb (0.9992, 0.9992, 0.7043)
P (0.5000, 0.5000, 0.5000)
I (0.1650, 0.1650, 0.8380)
I (0.1711, 0.1711, 0.3254)
I (0.5000, 0.5000, 0.0000)
I (0.8289, 0.8289, 0.6746)
I (0.8350, 0.8350, 0.1620)